First-principles (PBE+U) data for ZnFeOF2 after structural relaxation, as listed in the Alexandria database.

Lattice parameters (Å, degrees): 4.0539 4.0539 3.8739 90.00 90.00 90.00
Atoms (fractional coordinates):
1 Zn 0.0000 0.0000 0.0000
2 Fe 0.5000 0.5000 0.5000
3 O 0.5000 0.5000 0.0000
4 F 0.0000 0.5000 0.5000
5 F 0.5000 0.0000 0.5000

Results
* space group: P4/mmm (123)
* relative energy among the computed polymorphs: 0 meV per atom
* energy: -4.51 eV/atom